# 1
# Rb2Th2Te5

Crystalline Rb2Th2Te5 at its relaxed geometry (GGA-PBE, the Open Quantum Materials Database).

Results
**E**: -4.84 eV per atom
**Magnetization**: 0.0 μB per formula unit
**Volume**: 38.34 A^3/atom

```
Rb2Th2Te5
1.0
8.9532 -4.3870 0.0000
8.9532 4.3870 0.0000
0.0000 0.0000 8.7852
Rb Te Th
4 10 4
Direct
0.2036 0.2036 0.0000
0.7964 0.7964 0.0000
0.2964 0.2964 0.5000
0.7036 0.7036 0.5000
0.0000 0.0000 0.0000
0.5319 0.2436 0.1441
0.7564 0.4681 0.1441
0.0319 0.7436 0.3559
0.2564 0.9681 0.3559
0.5000 0.5000 0.5000
0.7436 0.0319 0.6441
0.9681 0.2564 0.6441
0.2436 0.5319 0.8559
0.4681 0.7564 0.8559
0.3404 0.6596 0.1596
0.8404 0.1596 0.3404
0.1596 0.8404 0.6596
0.6596 0.3404 0.8404
```



# 2
# RbThTe

Crystalline RbThTe at its relaxed geometry (GGA-PBE, the Open Quantum Materials Database).

Results
**E**: -3.67 eV per atom
**Magnetization**: 1.7 μB per formula unit
**Volume**: 39.53 A^3/atom

```
RbThTe
1.0
-3.8948 2.4185 3.0647
-5.1022 0.6080 -2.0024
-4.1455 -2.9978 2.0589
Rb Te Th
1 1 1
Direct
0.2500 0.2500 0.2500
0.0000 0.0000 0.0000
0.7500 0.7500 0.7500
```



# 3
# RbTh2Te6

Crystalline RbTh2Te6 at its relaxed geometry (GGA-PBE, the Open Quantum Materials Database).

Results
**E**: -4.96 eV per atom
**Magnetization**: 0.0 μB per formula unit
**Volume**: 37.63 A^3/atom

```
RbTh2Te6
1.0
-2.2353 3.0910 12.2524
2.2353 -3.0910 12.2524
2.2353 3.0910 -12.2524
Rb Te Th
1 6 2
Direct
0.0000 0.0000 0.0000
0.2265 0.2265 0.0000
0.7735 0.7735 0.0000
0.8549 0.6079 0.2470
0.6391 0.3921 0.2470
0.1451 0.3921 0.7530
0.3609 0.6079 0.7530
0.6800 0.1800 0.5000
0.3200 0.8200 0.5000
```



# 4
# RbThTe2

Crystalline RbThTe2 at its relaxed geometry (GGA-PBE, the Open Quantum Materials Database).

Results
**E**: -4.84 eV per atom
**Magnetization**: 0.0 μB per formula unit
**Volume**: 34.22 A^3/atom

```
RbThTe2
1.0
3.9364 0.0000 0.0000
0.0000 3.9364 0.0000
0.0000 0.0000 8.8336
Rb Te Th
1 2 1
Direct
0.5000 0.5000 0.5000
0.0000 0.0000 0.2057
0.0000 0.0000 0.7943
0.5000 0.5000 0.0000
```



# 5
# Rb2TmTe2

Crystalline Rb2TmTe2 at its relaxed geometry (GGA-PBE, the Open Quantum Materials Database).

Results
**E**: -3.52 eV per atom
**Magnetization**: 1.0 μB per formula unit
**Volume**: 45.84 A^3/atom

```
Rb2TmTe2
1.0
-4.1954 7.5141 3.6350
4.1954 -7.5141 3.6350
4.1954 7.5141 -3.6350
Rb Te Tm
4 4 2
Direct
0.3506 0.8452 0.1958
0.1494 0.3452 0.4946
0.8506 0.6548 0.5054
0.6494 0.1548 0.8042
0.8940 0.2084 0.1024
0.6060 0.7084 0.3143
0.3940 0.2916 0.6857
0.1060 0.7916 0.8976
0.2500 0.2500 0.0000
0.7500 0.7500 0.0000
```



# 6
# RbTmTe

Crystalline RbTmTe at its relaxed geometry (GGA-PBE, the Open Quantum Materials Database).

Results
**Magnetization**: 0.5 μB per formula unit
**Volume**: 38.05 A^3/atom
**Energy above the most stable polymorph in this dataset**: 0.00 eV/f.u.

```
RbTmTe
1.0
-0.6078 -4.9216 -2.2486
-3.2420 -0.6341 -4.3284
2.1585 -1.0452 -4.8884
Rb Te Tm
1 1 1
Direct
0.2500 0.2500 0.2500
0.0000 0.0000 0.0000
0.7500 0.7500 0.7500
```



# 7
# RbTmZrTe3

Crystalline RbTmZrTe3 at its relaxed geometry (GGA-PBE, the Open Quantum Materials Database).

Results
**Magnetization**: 0.8 μB per formula unit
**Volume**: 35.89 A^3/atom
**Energy above the most stable polymorph in this dataset**: 0.00 eV/f.u.

```
RbTmZrTe3
1.0
2.2228 -8.4340 0.0000
2.2228 8.4340 0.0000
0.0000 0.0000 11.4871
Rb Te Tm Zr
2 6 2 2
Direct
0.2510 0.7490 0.2500
0.7490 0.2510 0.7500
0.6245 0.3755 0.0456
0.9278 0.0722 0.2500
0.6245 0.3755 0.4544
0.3755 0.6245 0.5456
0.0722 0.9278 0.7500
0.3755 0.6245 0.9544
0.0000 0.0000 0.0000
0.0000 0.0000 0.5000
0.5335 0.4665 0.2500
0.4665 0.5335 0.7500
```



# 8
# RbTmZrTe3

Crystalline RbTmZrTe3 at its relaxed geometry (GGA-PBE, the Open Quantum Materials Database).

Results
**Magnetization**: 1.7 μB per formula unit
**Volume**: 35.66 A^3/atom
**Energy above the most stable polymorph in this dataset**: 0.18 eV/f.u.

```
RbTmZrTe3
1.0
-4.4658 2.4104 -7.2195
1.7006 -5.8177 6.4138
-7.8275 4.8264 6.4532
Rb Te Tm Zr
2 6 2 2
Direct
0.7416 0.2584 0.2500
0.2584 0.7416 0.7500
0.1196 0.8804 0.0386
0.4150 0.5850 0.2500
0.1196 0.8804 0.4614
0.8804 0.1196 0.5386
0.5850 0.4150 0.7500
0.8804 0.1196 0.9614
0.0221 0.9779 0.2500
0.9779 0.0221 0.7500
0.5000 0.5000 0.0000
0.5000 0.5000 0.5000
```



# 9
# RbUTe

Crystalline RbUTe at its relaxed geometry (GGA-PBE, the Open Quantum Materials Database).

Results
**Magnetization**: 4.9 μB per formula unit
**Volume**: 40.13 A^3/atom
**Energy above the most stable polymorph in this dataset**: 0.00 eV/f.u.

```
RbUTe
1.0
-0.2216 3.1251 4.5718
-4.3726 -0.3510 3.3874
0.5423 -2.3483 4.9909
Rb Te U
1 1 1
Direct
0.2500 0.2500 0.2500
0.0000 0.0000 0.0000
0.7500 0.7500 0.7500
```



# 10
# RbTe5W3

Crystalline RbTe5W3 at its relaxed geometry (GGA-PBE, the Open Quantum Materials Database).

Results
**E**: -6.01 eV per atom
**Magnetization**: 3.2 μB per formula unit
**Volume**: 29.01 A^3/atom

```
RbTe5W3
1.0
-0.7527 4.4896 3.8321
-3.5937 -4.7373 0.2244
5.3207 -3.7771 5.4703
Rb Te W
1 5 3
Direct
0.0000 0.0000 0.0000
0.6667 0.3333 0.2441
0.3333 0.6667 0.2441
0.0000 0.0000 0.5000
0.6667 0.3333 0.7559
0.3333 0.6667 0.7559
0.5000 0.0000 0.5000
0.0000 0.5000 0.5000
0.5000 0.5000 0.5000
```



# 11
# RbTeW

Crystalline RbTeW at its relaxed geometry (GGA-PBE, the Open Quantum Materials Database).

Results
**Magnetization**: 5.0 μB per formula unit
**Volume**: 38.89 A^3/atom
**Energy above the most stable polymorph in this dataset**: 1.68 eV/f.u.

```
RbTeW
1.0
-3.2341 -3.4479 2.7814
-4.5133 -2.0341 -2.3614
-0.2104 -5.2979 -1.4041
Rb Te W
1 1 1
Direct
0.0000 0.0000 0.0000
0.2500 0.2500 0.2500
0.7500 0.7500 0.7500
```



# 12
# RbTeW

Crystalline RbTeW at its relaxed geometry (GGA-PBE, the Open Quantum Materials Database).

Results
**Magnetization**: 4.9 μB per formula unit
**Volume**: 34.38 A^3/atom
**Energy above the most stable polymorph in this dataset**: 0.00 eV/f.u.

```
RbTeW
1.0
4.6852 -1.3094 2.0104
1.6463 2.2021 4.4887
0.2648 -2.8765 4.4004
Rb Te W
1 1 1
Direct
0.2500 0.2500 0.2500
0.7500 0.7500 0.7500
0.0000 0.0000 0.0000
```



# 13
# RbYZnTe3

Crystalline RbYZnTe3 at its relaxed geometry (GGA-PBE, the Open Quantum Materials Database).

Results
**E**: -4.09 eV per atom
**Magnetization**: 0.0 μB per formula unit
**Volume**: 36.45 A^3/atom

```
RbYZnTe3
1.0
9.4002 0.0000 0.0000
0.0000 4.4223 0.0000
-3.9439 0.0000 10.5206
Rb Te Y Zn
2 6 2 2
Direct
0.2491 0.7500 0.2120
0.7509 0.2500 0.7880
0.7200 0.7500 0.0553
0.5822 0.2500 0.3461
0.0431 0.2500 0.3495
0.9569 0.7500 0.6505
0.4178 0.7500 0.6539
0.2800 0.2500 0.9447
0.8196 0.7500 0.3619
0.1804 0.2500 0.6381
0.5799 0.2500 0.1107
0.4201 0.7500 0.8893
```



# 14
# RbYZnTe3

Crystalline RbYZnTe3 at its relaxed geometry (GGA-PBE, the Open Quantum Materials Database).

Results
**E**: -3.93 eV per atom
**Magnetization**: 0.0 μB per formula unit
**Volume**: 35.18 A^3/atom

```
RbYZnTe3
1.0
10.0182 -2.2612 0.0000
10.0182 2.2612 0.0000
-1.8209 0.0000 9.3183
Rb Te Y Zn
2 6 2 2
Direct
0.8583 0.8583 0.4378
0.1417 0.1417 0.5622
0.0000 0.0000 0.0000
0.3250 0.3250 0.1473
0.6648 0.6648 0.2816
0.5000 0.5000 0.5000
0.3352 0.3352 0.7184
0.6750 0.6750 0.8527
0.1697 0.1697 0.0639
0.8303 0.8303 0.9361
0.5306 0.5306 0.2293
0.4694 0.4694 0.7707
```



# 15
# RbZrTe

Crystalline RbZrTe at its relaxed geometry (GGA-PBE, the Open Quantum Materials Database).

Results
**Magnetization**: 3.0 μB per formula unit
**Volume**: 36.26 A^3/atom
**Energy above the most stable polymorph in this dataset**: 0.00 eV/f.u.

```
RbZrTe
1.0
-2.7829 -4.2917 1.5967
-0.0106 -1.4155 5.1680
-4.4360 0.6251 2.9400
Rb Te Zr
1 1 1
Direct
0.2500 0.2500 0.2500
0.0000 0.0000 0.0000
0.7500 0.7500 0.7500
```



# 16
# RbZr3Te6

Crystalline RbZr3Te6 at its relaxed geometry (GGA-PBE, the Open Quantum Materials Database).

Results
**E**: -5.45 eV per atom
**Magnetization**: 0.0 μB per formula unit
**Volume**: 32.07 A^3/atom

```
RbZr3Te6
1.0
4.0441 0.0000 0.0000
-2.0221 3.5023 0.0000
0.0000 0.0000 22.6435
Rb Te Zr
1 6 3
Direct
0.0000 0.0000 0.5000
0.3333 0.6667 0.0783
0.6667 0.3333 0.2220
0.3333 0.6667 0.3794
0.6667 0.3333 0.6206
0.3333 0.6667 0.7780
0.6667 0.3333 0.9217
0.0000 0.0000 0.0000
0.0000 0.0000 0.2987
0.0000 0.0000 0.7013
```



# 17
# Rb2ZrTe3

Crystalline Rb2ZrTe3 at its relaxed geometry (GGA-PBE, the Open Quantum Materials Database).

Results
**E**: -4.27 eV per atom
**Magnetization**: 0.0 μB per formula unit
**Volume**: 39.41 A^3/atom

```
Rb2ZrTe3
1.0
15.1701 0.0000 0.0000
0.0000 4.3495 0.0000
0.0000 0.0000 14.3358
Rb Te Zr
8 12 4
Direct
0.8698 0.7500 0.0031
0.7035 0.2500 0.2169
0.2035 0.2500 0.2831
0.3698 0.7500 0.4969
0.6302 0.2500 0.5031
0.7965 0.7500 0.7169
0.2965 0.7500 0.7831
0.1302 0.2500 0.9969
0.5606 0.7500 0.0898
0.2978 0.7500 0.1001
0.9566 0.2500 0.1853
0.4566 0.2500 0.3147
0.7978 0.7500 0.3999
0.0606 0.7500 0.4102
0.9394 0.2500 0.5898
0.2022 0.2500 0.6001
0.5434 0.7500 0.6853
0.0434 0.7500 0.8147
0.7022 0.2500 0.8999
0.4394 0.2500 0.9102
0.4309 0.2500 0.1233
0.9309 0.2500 0.3767
0.0691 0.7500 0.6233
0.5691 0.7500 0.8767
```



# 18
# RbZrTe

Crystalline RbZrTe at its relaxed geometry (GGA-PBE, the Open Quantum Materials Database).

Results
**Magnetization**: 3.0 μB per formula unit
**Volume**: 39.38 A^3/atom
**Energy above the most stable polymorph in this dataset**: 2.10 eV/f.u.

```
RbZrTe
1.0
2.9423 -2.1438 4.1327
-2.5260 -2.7897 4.0211
0.6367 -5.4569 0.3858
Rb Te Zr
1 1 1
Direct
0.0000 0.0000 0.0000
0.2500 0.2500 0.2500
0.7500 0.7500 0.7500
```



# 19
# Rb2ZrTe3

Crystalline Rb2ZrTe3 at its relaxed geometry (GGA-PBE, the Open Quantum Materials Database).

Results
**E**: -4.34 eV per atom
**Magnetization**: 0.0 μB per formula unit
**Volume**: 39.98 A^3/atom

```
Rb2ZrTe3
1.0
-0.8622 5.5959 8.2157
-0.5862 -11.9900 8.1051
6.7940 -1.1008 -1.1370
Rb Te Zr
8 12 4
Direct
0.0947 0.8630 0.0795
0.3571 0.5439 0.1797
0.6429 0.0439 0.3203
0.9053 0.3630 0.4205
0.0947 0.6370 0.5795
0.3571 0.9561 0.6797
0.6429 0.4561 0.8203
0.9053 0.1370 0.9205
0.0987 0.3512 0.0082
0.2710 0.0871 0.0885
0.5294 0.3090 0.1992
0.4706 0.8090 0.3008
0.7290 0.5871 0.4115
0.9013 0.8512 0.4918
0.0987 0.1488 0.5082
0.2710 0.4129 0.5885
0.5294 0.1910 0.6992
0.4706 0.6910 0.8008
0.7290 0.9129 0.9115
0.9013 0.6488 0.9918
0.7024 0.7515 0.1666
0.2976 0.2515 0.3334
0.7024 0.7485 0.6666
0.2976 0.2485 0.8333
```



# 20
# Rb2ZrTe3

Crystalline Rb2ZrTe3 at its relaxed geometry (GGA-PBE, the Open Quantum Materials Database).

Results
**E**: -4.31 eV per atom
**Magnetization**: 0.0 μB per formula unit
**Volume**: 38.37 A^3/atom

```
Rb2ZrTe3
1.0
8.9252 0.0000 0.0000
0.0000 4.3510 0.0000
-1.2219 0.0000 11.8554
Rb Te Zr
4 6 2
Direct
0.5821 0.7500 0.1431
0.7480 0.2500 0.4790
0.2520 0.7500 0.5210
0.4179 0.2500 0.8569
0.1814 0.7500 0.0139
0.9526 0.7500 0.2874
0.3696 0.2500 0.3028
0.6304 0.7500 0.6972
0.0474 0.2500 0.7126
0.8186 0.2500 0.9861
0.0974 0.2500 0.1700
0.9026 0.7500 0.8300
```



| no. | theoretical density (g/cm³) |
| --- | --- |
| 1 | 6.13 |
| 2 | 6.23 |
| 3 | 6.45 |
| 4 | 6.95 |
| 5 | 4.31 |
| 6 | 5.56 |
| 7 | 5.62 |
| 8 | 5.65 |
| 9 | 6.22 |
| 10 | 8.11 |
| 11 | 5.65 |
| 12 | 6.39 |
| 13 | 4.73 |
| 14 | 4.90 |
| 15 | 4.64 |
| 16 | 5.82 |
| 17 | 4.53 |
| 18 | 4.28 |
| 19 | 4.46 |
| 20 | 4.65 |